Compound: PaAlTl2O8
Source: the Alexandria database
Functional: PBE
Structure: optimized geometry

Cell: 6.1332 6.1332 5.7074 Å, 90.00 90.00 120.00°
Space group P-3m1 (No. 164)
Inequivalent atoms, fractional coordinates:
1 Pa 0.0000 0.0000 0.0000
2 Al 0.0000 0.0000 0.5000
3 Tl 0.3333 0.6667 0.5876
4 O 0.1402 0.2803 0.7171
5 O 0.3333 0.6667 0.2142

- M_tot (Bohr magnetons per cell) = 2.000
- calculated total energy (eV/cell) = -75.1
- density of states at the Fermi level (states/eV per atom) = 0.750
- theoretical density (g/cm3) = 7.10

---

Compound: Pr4CdPt
Source: the Alexandria database
Functional: PBE
Structure: optimized geometry

Cell: 14.274 14.274 14.274 Å, 90.00 90.00 90.00°
Space group F-43m (No. 216)
Inequivalent atoms, fractional coordinates:
1 Pr 0.000 0.000 0.186
2 Pr 0.057 0.250 0.250
3 Pr 0.101 0.101 0.601
4 Cd 0.170 0.170 0.830
5 Pt 0.107 0.107 0.393

- M_tot (Bohr magnetons per cell) = 0.000
- calculated total energy (eV/cell) = -468.0
- density of states at the Fermi level (states/eV per atom) = 0.864
- theoretical density (g/cm3) = 7.96
- formation energy from the elements (meV per atom) = -529.9

---

Compound: K2Y2Al
Source: the Alexandria database
Functional: PBE
Structure: optimized geometry

Cell: 7.836 7.836 6.914 Å, 90.00 90.00 90.00°
Space group P4/mbm (No. 127)
Inequivalent atoms, fractional coordinates:
1 K 0.182 0.318 0.000
2 Y 0.160 0.660 0.500
3 Al 0.000 0.000 0.500

- M_tot (Bohr magnetons per cell) = 1.933
- calculated total energy (eV/cell) = -33.5
- density of states at the Fermi level (states/eV per atom) = 0.698
- theoretical density (g/cm3) = 2.21
- formation energy from the elements (meV per atom) = 426.9

---

Compound: CaPa4Se8
Source: the Alexandria database
Functional: PBE
Structure: optimized geometry

Cell: 11.987 11.987 11.987 Å, 90.00 90.00 90.00°
Space group F-43m (No. 216)
Inequivalent atoms, fractional coordinates:
1 Ca 0.000 0.000 0.000
2 Pa 0.121 0.121 0.621
3 Se 0.117 0.117 0.383
4 Se 0.136 0.136 0.864

- M_tot (Bohr magnetons per cell) = 24.073
- calculated total energy (eV/cell) = -341.0
- density of states at the Fermi level (states/eV per atom) = 2.109
- theoretical density (g/cm3) = 6.15

---

Compound: Zr4SbSe
Source: the Alexandria database
Functional: PBE
Structure: optimized geometry

Cell: 8.201 8.201 8.201 Å, 90.00 90.00 90.00°
Space group F-43m (No. 216)
Inequivalent atoms, fractional coordinates:
1 Zr 0.124 0.124 0.124
2 Sb 0.250 0.250 0.750
3 Se 0.000 0.000 0.500

- M_tot (Bohr magnetons per cell) = 0.000
- calculated total energy (eV/cell) = -166.2
- density of states at the Fermi level (states/eV per atom) = 1.109
- theoretical density (g/cm3) = 6.81

---

Compound: YOs3Pb
Source: the Alexandria database
Functional: PBE
Structure: optimized geometry

Cell: 4.964 4.964 4.964 Å, 90.00 90.00 90.00°
Space group Pm-3m (No. 221)
Inequivalent atoms, fractional coordinates:
1 Y 0.000 0.000 0.000
2 Os 0.000 0.000 0.500
3 Pb 0.500 0.500 0.500

- M_tot (Bohr magnetons per cell) = 1.785
- calculated total energy (eV/cell) = -30.6
- density of states at the Fermi level (states/eV per atom) = 1.910
- theoretical density (g/cm3) = 11.77
- formation energy from the elements (meV per atom) = 2652.7

---

Compound: K4PPb
Source: the Alexandria database
Functional: PBE
Structure: optimized geometry

Cell: 9.685 9.685 9.685 Å, 90.00 90.00 90.00°
Space group F-43m (No. 216)
Inequivalent atoms, fractional coordinates:
1 K 0.124 0.124 0.124
2 P 0.250 0.250 0.750
3 Pb 0.000 0.000 0.500

- M_tot (Bohr magnetons per cell) = 4.237
- calculated total energy (eV/cell) = -43.5
- density of states at the Fermi level (states/eV per atom) = 0.933
- theoretical density (g/cm3) = 2.88
- formation energy from the elements (meV per atom) = 437.2

---

Compound: HoPuThZn
Source: the Alexandria database
Functional: PBE
Structure: optimized geometry

Cell: 7.441 7.441 7.441 Å, 90.00 90.00 90.00°
Space group F-43m (No. 216)
Inequivalent atoms, fractional coordinates:
1 Ho 0.000 0.000 0.000
2 Pu 0.250 0.250 0.750
3 Th 0.000 0.000 0.500
4 Zn 0.250 0.250 0.250

- M_tot (Bohr magnetons per cell) = 28.052
- calculated total energy (eV/cell) = -108.5
- density of states at the Fermi level (states/eV per atom) = 3.965
- theoretical density (g/cm3) = 11.39
- formation energy from the elements (meV per atom) = 116.8

---

Compound: Sc2PtAu
Source: the Alexandria database
Functional: PBE
Structure: optimized geometry

Cell: 7.188 7.188 6.722 Å, 90.00 90.00 90.00°
Space group I-42d (No. 122)
Inequivalent atoms, fractional coordinates:
1 Sc 0.234 0.250 0.125
2 Pt 0.000 0.000 0.000
3 Au 0.000 0.000 0.500

- M_tot (Bohr magnetons per cell) = 0.000
- calculated total energy (eV/cell) = -96.7
- density of states at the Fermi level (states/eV per atom) = 0.926
- theoretical density (g/cm3) = 9.22
- formation energy from the elements (meV per atom) = -551.1

---

Compound: Ac4Ni3C5
Source: the Alexandria database
Functional: PBE
Structure: optimized geometry

Cell: 12.021 3.953 9.971 Å, 90.00 109.81 90.00°
Space group C2/m (No. 12)
Inequivalent atoms, fractional coordinates:
1 Ac 0.103 0.000 0.399
2 Ac 0.239 0.500 0.160
3 Ni 0.000 0.000 0.000
4 Ni 0.042 0.500 0.839
5 C 0.000 0.500 0.000
6 C 0.099 0.500 0.686
7 C 0.179 0.500 0.621

- M_tot (Bohr magnetons per cell) = 0.000
- calculated total energy (eV/cell) = -162.7
- density of states at the Fermi level (states/eV per atom) = 0.633
- theoretical density (g/cm3) = 8.52
- formation energy from the elements (meV per atom) = -121.7

---

Compound: PuH6Pd5
Source: the Alexandria database
Functional: PBE
Structure: optimized geometry

Cell: 5.259 5.315 5.392 Å, 119.27 99.68 101.36°
Space group P-1 (No. 2)
Inequivalent atoms, fractional coordinates:
1 Pu 0.000 0.000 0.000
2 H 0.218 0.519 0.070
3 H 0.276 0.205 0.534
4 H 0.277 0.752 0.652
5 Pd 0.006 0.350 0.682
6 Pd 0.484 0.146 0.814
7 Pd 0.500 0.500 0.500

- M_tot (Bohr magnetons per cell) = 5.333
- calculated total energy (eV/cell) = -62.6
- density of states at the Fermi level (states/eV per atom) = 1.518
- theoretical density (g/cm3) = 10.60

---

Compound: CaVW2N
Source: the Alexandria database
Functional: PBE
Structure: optimized geometry

Cell: 4.101 4.101 4.667 Å, 90.00 90.00 90.00°
Space group P4/mmm (No. 123)
Inequivalent atoms, fractional coordinates:
1 Ca 0.000 0.000 0.000
2 V 0.500 0.500 0.000
3 W 0.000 0.500 0.500
4 N 0.000 0.000 0.500

- M_tot (Bohr magnetons per cell) = 0.000
- calculated total energy (eV/cell) = -43.7
- density of states at the Fermi level (states/eV per atom) = 1.112
- theoretical density (g/cm3) = 10.00

---

Compound: YMn2Hg
Source: the Alexandria database
Functional: PBE
Structure: optimized geometry

Cell: 3.461 3.476 6.735 Å, 90.00 90.00 90.00°
Space group Pmm2 (No. 25)
Inequivalent atoms, fractional coordinates:
1 Y 0.000 0.000 0.000
2 Mn 0.000 0.000 0.545
3 Mn 0.500 0.500 0.733
4 Hg 0.500 0.500 0.312

- M_tot (Bohr magnetons per cell) = 7.038
- calculated total energy (eV/cell) = -24.4
- density of states at the Fermi level (states/eV per atom) = 0.848
- theoretical density (g/cm3) = 8.19
- formation energy from the elements (meV per atom) = 164.9

---

Compound: CuIrRu2
Source: the Alexandria database
Functional: PBE
Structure: optimized geometry

Cell: 2.702 4.589 9.161 Å, 90.00 90.00 90.00°
Space group Cmmm (No. 65)
Inequivalent atoms, fractional coordinates:
1 Cu 0.000 0.000 0.000
2 Ir 0.000 0.000 0.500
3 Ru 0.000 0.500 0.246

- M_tot (Bohr magnetons per cell) = 2.010
- calculated total energy (eV/cell) = -59.8
- density of states at the Fermi level (states/eV per atom) = 1.358
- theoretical density (g/cm3) = 13.39
- formation energy from the elements (meV per atom) = 406.4

---

Compound: GdGeH
Source: the Alexandria database
Functional: PBE
Structure: optimized geometry

Cell: 3.592 15.669 3.722 Å, 90.00 90.00 90.00°
Space group Cmcm (No. 63)
Inequivalent atoms, fractional coordinates:
1 Gd 0.000 0.097 0.250
2 Ge 0.000 0.248 0.750
3 H 0.000 0.441 0.250

- M_tot (Bohr magnetons per cell) = 29.858
- calculated total energy (eV/cell) = -91.7
- density of states at the Fermi level (states/eV per atom) = 0.434
- theoretical density (g/cm3) = 7.32

---

Compound: RbTlS2
Source: the Alexandria database
Functional: PBE
Structure: optimized geometry

Cell: 5.468 5.903 8.758 Å, 96.65 101.18 92.13°
Space group P1 (No. 1)
Inequivalent atoms, fractional coordinates:
1 Rb 0.000 0.000 0.000
2 Rb 0.394 0.482 0.767
3 Tl 0.017 0.539 0.330
4 Tl 0.574 0.014 0.447
5 S 0.117 0.957 0.630
6 S 0.530 0.349 0.129
7 S 0.554 0.709 0.143
8 S 0.861 0.681 0.632

- M_tot (Bohr magnetons per cell) = 0.000
- calculated total energy (eV/cell) = -27.7
- density of states at the Fermi level (states/eV per atom) = 0.000
- theoretical density (g/cm3) = 4.28

---

Compound: CaPClO2
Source: the Alexandria database
Functional: PBE
Structure: optimized geometry

Cell: 4.258 4.258 7.277 Å, 90.00 90.00 90.00°
Space group P4/mmm (No. 123)
Inequivalent atoms, fractional coordinates:
1 Ca 0.000 0.000 0.000
2 P 0.000 0.000 0.500
3 Cl 0.500 0.500 0.500
4 O 0.000 0.500 0.000

- M_tot (Bohr magnetons per cell) = 3.835
- calculated total energy (eV/cell) = -19.1
- density of states at the Fermi level (states/eV per atom) = 0.809
- theoretical density (g/cm3) = 1.74

---

Compound: CsBaLi
Source: the Alexandria database
Functional: PBE
Structure: optimized geometry

Cell: 4.579 4.579 17.597 Å, 90.00 90.00 90.00°
Space group I4mm (No. 107)
Inequivalent atoms, fractional coordinates:
1 Cs 0.000 0.000 0.000
2 Ba 0.000 0.000 0.271
3 Li 0.000 0.000 0.656

- M_tot (Bohr magnetons per cell) = 0.001
- calculated total energy (eV/cell) = -8.4
- density of states at the Fermi level (states/eV per atom) = 1.174
- theoretical density (g/cm3) = 2.49
- formation energy from the elements (meV per atom) = 160.1

---

Compound: Ho3Tm3Mg5
Source: the Alexandria database
Functional: PBE
Structure: optimized geometry

Cell: 8.9209 8.9209 5.5048 Å, 90.00 90.00 120.00°
Space group P-62m (No. 189)
Inequivalent atoms, fractional coordinates:
1 Ho 0.0000 0.4834 0.0000
2 Tm 0.0000 0.2339 0.5000
3 Mg 0.0000 0.6118 0.5000
4 Mg 0.3333 0.6667 0.5000

- M_tot (Bohr magnetons per cell) = 2.222
- calculated total energy (eV/cell) = -28.1
- density of states at the Fermi level (states/eV per atom) = 1.712
- theoretical density (g/cm3) = 4.92
- formation energy from the elements (meV per atom) = 641.4

---

Compound: Ac2Si2Ni2N
Source: the Alexandria database
Functional: PBE
Structure: optimized geometry

Cell: 11.433 4.051 7.165 Å, 90.00 125.10 90.00°
Space group C2/m (No. 12)
Inequivalent atoms, fractional coordinates:
1 Ac 0.050 0.000 0.308
2 Si 0.200 0.500 0.102
3 Ni 0.190 0.500 0.763
4 N 0.000 0.500 0.500

- M_tot (Bohr magnetons per cell) = 0.000
- calculated total energy (eV/cell) = -87.2
- density of states at the Fermi level (states/eV per atom) = 0.558
- theoretical density (g/cm3) = 7.85